LaSc2HPb PBE relaxed; space group = No. 123; electronic total energy = -5.30 eV per atom
1.0
4.787 0.000 0.000
0.000 4.787 0.000
0.000 0.000 4.640
Sc La H Pb
2 1 1 1
direct
0.500 0.000 0.000
0.000 0.500 0.000
0.000 0.000 0.500
0.000 0.000 0.000
0.500 0.500 0.500

=====

Cs7Au4F PBE relaxed; ΔE_f (raw) = -0.639 eV per atom; space group = No. 12
1.0
-2.788 -5.140 1.429
6.323 -4.940 7.249
-5.449 1.729 8.267
Cs Au F
7 4 1
direct
0.366 0.537 0.731
0.066 0.747 0.122
0.789 0.844 0.577
0.500 0.000 0.000
0.634 0.463 0.269
0.211 0.156 0.423
0.934 0.253 0.878
0.586 0.196 0.633
0.720 0.645 0.914
0.280 0.355 0.086
0.414 0.804 0.367
0.000 0.000 0.000

=====

Cs2Hg2I PBE relaxed; ΔE_f (raw) = -0.621 eV per atom; space group = No. 127; offset from the most stable computed form = 0.514 eV per formula unit
1.0
-8.874 -3.639 2.529
4.396 -7.941 4.001
0.283 2.385 4.424
Cs I Hg
4 2 4
direct
0.806 0.306 0.500
0.694 0.806 0.500
0.306 0.194 0.500
0.194 0.694 0.500
0.500 0.500 0.000
0.000 0.000 0.000
0.108 0.392 0.000
0.892 0.608 0.000
0.392 0.892 0.000
0.608 0.108 0.000